# 1
Material: Ga3Si
Method: DFT, PBE
State: relaxed

Lattice parameters (Å, degrees): 4.1417 4.1417 4.1417 90.00 90.00 90.00
Positions (direct):
Ga1 0.0000 0.0000 0.5000
Ga2 0.0000 0.5000 0.0000
Ga3 0.5000 0.0000 0.0000
Si1 0.5000 0.5000 0.5000

Output
Total magnetic moment   0.00 μB/cell
DOS(E_F)   0.339 states/eV per atom
E   -3.425 eV per atom
Space group   Pm-3m (221)
Uncorrected formation energy   4.6 kcal/mol of atoms

# 2
Material: Ba2BeW
Method: DFT, PBE
State: relaxed

Lattice parameters (Å, degrees): 4.2557 6.5958 6.5958 43.73 90.00 90.00
Positions (direct):
Ba1 0.0000 0.0000 0.0000
Ba2 0.5000 0.2832 0.2832
Be1 0.0000 0.6881 0.6881
W1 0.5000 0.6062 0.6062

Output
Total magnetic moment   1.63 μB/cell
DOS(E_F)   0.652 states/eV per atom
E   -4.198 eV per atom
DFT formation energy   3.73 eV/f.u.
Space group   Amm2 (38)

# 3
Material: TbIn3Hg3
Method: DFT, PBE
State: relaxed

Lattice parameters (Å, degrees): 7.2958 7.2958 6.9280 91.82 91.82 92.62
Positions (direct):
Tb1 0.2235 0.2235 0.4937
Tb2 0.7765 0.7765 0.5063
In1 0.1506 0.8494 0.0000
In2 0.2287 0.7713 0.5000
In3 0.2738 0.2738 0.9911
In4 0.7262 0.7262 0.0089
In5 0.7713 0.2287 0.5000
In6 0.8494 0.1506 0.0000
Hg1 0.0064 0.5027 0.7603
Hg2 0.4973 0.9936 0.2397
Hg3 0.4976 0.4976 0.2745
Hg4 0.5024 0.5024 0.7255
Hg5 0.5027 0.0064 0.7603
Hg6 0.9936 0.4973 0.2397

Output
Total magnetic moment   0.00 μB/cell
DOS(E_F)   0.449 states/eV per atom
E   -2.103 eV per atom
DFT formation energy   -0.97 eV/f.u.
Space group   C2/m (12)

# 4
Material: K3Rb2NaI6
Method: DFT, PBE
State: relaxed

Lattice parameters (Å, degrees): 8.8192 8.8192 8.7473 99.73 99.73 120.14
Positions (direct):
K1 0.0000 0.0000 0.0000
K2 0.3291 0.6709 0.0000
K3 0.6709 0.3291 0.0000
Rb1 0.1665 0.8335 0.5000
Rb2 0.8335 0.1665 0.5000
Na1 0.5000 0.5000 0.5000
I1 0.1037 0.4168 0.2503
I2 0.2730 0.2730 0.7466
I3 0.4168 0.1037 0.2503
I4 0.5832 0.8963 0.7497
I5 0.7270 0.7270 0.2534
I6 0.8963 0.5832 0.7497

Output
Total magnetic moment   0.00 μB/cell
DOS(E_F)   0.000 states/eV per atom
E   -2.758 eV per atom
Space group   C2/m (12)
Uncorrected formation energy   -33.1 kcal/mol of atoms

# 5
Material: LaZrTl2
Method: DFT, PBE
State: relaxed

Lattice parameters (Å, degrees): 6.4747 6.4747 6.4747 148.29 128.60 61.67
Positions (direct):
La1 0.0000 0.0000 0.0000
Zr1 0.5000 0.5000 0.0000
Tl1 0.2661 0.7661 0.5000
Tl2 0.7339 0.2339 0.5000

Output
Total magnetic moment   0.00 μB/cell
DOS(E_F)   0.789 states/eV per atom
E   -4.570 eV per atom
DFT formation energy   -0.07 eV/f.u.
Space group   Immm (71)

# 6
Material: Na3Zn
Method: DFT, PBE
State: relaxed

Lattice parameters (Å, degrees): 4.8458 4.8458 4.8458 90.00 90.00 90.00
Positions (direct):
Na1 0.0000 0.0000 0.5000
Na2 0.0000 0.5000 0.0000
Na3 0.5000 0.0000 0.0000
Zn1 0.5000 0.5000 0.5000

Output
Total magnetic moment   0.00 μB/cell
DOS(E_F)   0.273 states/eV per atom
E   -1.238 eV per atom
DFT formation energy   0.28 eV/f.u.
Space group   Pm-3m (221)

# 7
Material: InIr2WS
Method: DFT, PBE
State: relaxed

Lattice parameters (Å, degrees): 4.8844 4.8844 4.5327 90.00 90.00 90.00
Positions (direct):
In1 0.0000 0.0000 0.0000
Ir1 0.0000 0.5000 0.5000
Ir2 0.5000 0.0000 0.5000
W1 0.5000 0.5000 0.5000
S1 0.5000 0.5000 0.0000

Output
Total magnetic moment   0.00 μB/cell
DOS(E_F)   0.822 states/eV per atom
E   -6.597 eV per atom
Space group   P4/mmm (123)
Uncorrected formation energy   21.0 kcal/mol of atoms

# 8
Material: PmEuSnRh
Method: DFT, PBE
State: relaxed

Lattice parameters (Å, degrees): 5.2494 5.2494 5.2494 60.00 60.00 60.00
Positions (direct):
Pm1 0.0000 0.0000 0.0000
Eu1 0.5000 0.5000 0.5000
Sn1 0.2500 0.2500 0.2500
Rh1 0.7500 0.7500 0.7500

Output
Total magnetic moment   6.74 μB/cell
DOS(E_F)   2.641 states/eV per atom
E   -7.080 eV per atom
DFT formation energy   -1.94 eV/f.u.
Space group   F-43m (216)

# 9
Material: MgCr4Ni
Method: DFT, PBE
State: relaxed

Lattice parameters (Å, degrees): 4.7781 4.7781 4.7781 60.00 60.00 60.00
Positions (direct):
Mg1 0.0000 0.0000 0.0000
Cr1 0.1217 0.6261 0.6261
Cr2 0.6261 0.1217 0.6261
Cr3 0.6261 0.6261 0.1217
Cr4 0.6261 0.6261 0.6261
Ni1 0.2500 0.2500 0.2500

Output
Total magnetic moment   0.00 μB/cell
DOS(E_F)   1.101 states/eV per atom
E   -7.288 eV per atom
DFT formation energy   2.14 eV/f.u.
Space group   F-43m (216)

# 10
Material: RbCO3
Method: DFT, PBE
State: relaxed

Lattice parameters (Å, degrees): 8.0827 10.6909 7.7934 90.00 100.38 90.00
Positions (direct):
Rb1 0.2493 0.0122 0.0012
Rb2 0.2490 0.0837 0.5015
Rb3 0.2490 0.4163 0.0015
Rb4 0.2493 0.4878 0.5012
Rb5 0.7507 0.5122 0.4988
Rb6 0.7510 0.5837 0.9985
Rb7 0.7510 0.9163 0.4985
Rb8 0.7507 0.9878 0.9988
C1 0.0443 0.7232 0.8038
C2 0.0443 0.7768 0.3038
C3 0.4597 0.7219 0.1944
C4 0.4597 0.7781 0.6944
C5 0.5403 0.2219 0.3056
C6 0.5403 0.2781 0.8056
C7 0.9557 0.2232 0.6962
C8 0.9557 0.2768 0.1962
O1 0.0406 0.6067 0.7889
O2 0.0406 0.8933 0.2889
O3 0.0608 0.2013 0.1528
O4 0.0608 0.2987 0.6528
O5 0.1824 0.7066 0.2681
O6 0.1824 0.7934 0.7681
O7 0.3211 0.7080 0.7289
O8 0.3211 0.7920 0.2289
O9 0.4350 0.2026 0.8486
O10 0.4350 0.2974 0.3486
O11 0.4637 0.6054 0.2098
O12 0.4637 0.8946 0.7098
O13 0.5363 0.1054 0.2902
O14 0.5363 0.3946 0.7902
O15 0.5650 0.7026 0.6514
O16 0.5650 0.7974 0.1514
O17 0.6789 0.2080 0.7711
O18 0.6789 0.2920 0.2711
O19 0.8176 0.2066 0.2319
O20 0.8176 0.2934 0.7319
O21 0.9392 0.7013 0.3472
O22 0.9392 0.7987 0.8472
O23 0.9594 0.1067 0.7111
O24 0.9594 0.3933 0.2111

Output
Total magnetic moment   0.27 μB/cell
DOS(E_F)   0.000 states/eV per atom
E   -6.450 eV per atom
Space group   P2_1/c (14)
Uncorrected formation energy   -33.1 kcal/mol of atoms

# 11
Material: PrAgSbTe3
Method: DFT, PBE
State: relaxed

Lattice parameters (Å, degrees): 7.7287 4.2509 12.5289 90.00 90.48 90.00
Positions (direct):
Pr1 0.1243 0.2500 0.2254
Pr2 0.8757 0.7500 0.7746
Ag1 0.1078 0.2500 0.9505
Ag2 0.8922 0.7500 0.0495
Sb1 0.4630 0.7500 0.6649
Sb2 0.5370 0.2500 0.3351
Te1 0.1806 0.2500 0.7308
Te2 0.2795 0.7500 0.0633
Te3 0.3017 0.7500 0.4160
Te4 0.6983 0.2500 0.5840
Te5 0.7205 0.2500 0.9367
Te6 0.8194 0.7500 0.2692

Output
Total magnetic moment   0.00 μB/cell
DOS(E_F)   0.362 states/eV per atom
E   -4.076 eV per atom
Space group   P2_1/m (11)
Uncorrected formation energy   -12.6 kcal/mol of atoms

# 12
Material: SmMg2Zn2In2
Method: DFT, PBE
State: relaxed

Lattice parameters (Å, degrees): 8.8882 8.8882 8.8882 30.50 30.50 30.50
Positions (direct):
Sm1 0.0000 0.0000 0.0000
Mg1 0.1338 0.1338 0.1338
Mg2 0.8662 0.8662 0.8662
Zn1 0.3967 0.3967 0.3967
Zn2 0.6033 0.6033 0.6033
In1 0.2539 0.2539 0.2539
In2 0.7461 0.7461 0.7461

Output
Total magnetic moment   0.00 μB/cell
DOS(E_F)   0.209 states/eV per atom
E   -2.537 eV per atom
DFT formation energy   -1.83 eV/f.u.
Space group   R-3m (166)